Version P
VASP calculation (GGA-PBEsol) on SrSm2O4 after structural relaxation.

DOS(E_F) in states/eV per cell: 0.00

The structure in extended XYZ format:
```
14
Lattice="3.423 0.000 0.000 -1.712 5.692 0.000 0.000 0.000 11.227" Properties=species:S:1:pos:R:3 pbc="T T T"
Sr 0.000 1.286 2.807
Sr 1.712 4.406 8.420
Sm 0.000 4.184 0.827
Sm 0.000 4.184 4.787
Sm 1.712 1.508 10.400
Sm 1.712 1.508 6.440
O 0.000 0.000 5.614
O 0.000 0.000 0.000
O 0.000 5.261 2.807
O 0.000 3.013 9.983
O 0.000 3.013 6.858
O 1.712 0.431 8.420
O 1.712 2.679 1.244
O 1.712 2.679 4.369
```

=====

Version Q
VASP calculation (GGA-PBEsol) on SrSm2O4 after structural relaxation.

DOS(E_F) in states/eV per cell: 0.00

The structure in extended XYZ format:
```
14
Lattice="7.031 0.000 0.000 3.516 6.089 0.000 3.516 2.030 5.741" Properties=species:S:1:pos:R:3 pbc="T T T"
Sr 3.516 2.030 1.435
Sr 0.000 0.000 0.000
Sm 7.031 2.030 3.588
Sm 8.789 5.074 3.588
Sm 7.031 4.059 0.718
Sm 5.273 5.074 3.588
O 8.572 3.170 2.242
O 7.031 4.059 4.757
O 5.491 3.170 2.242
O 10.547 4.310 4.935
O 7.031 5.838 2.242
O 12.087 6.979 4.935
O 10.547 6.089 2.419
O 9.006 6.979 4.935
```

=====

Preferred: version Q; penalty for the next structure: 1.2 kJ/mol of atoms.

=====

Version P
VASP calculation (GGA-PBEsol) on Sm3TaO7 after structural relaxation.

DOS(E_F) in states/eV per cell: 0.00

The structure in extended XYZ format:
```
22
Lattice="6.548 0.023 0.000 -2.143 6.187 0.000 0.000 0.000 7.538" Properties=species:S:1:pos:R:3 pbc="T T T"
Sm 3.028 0.019 1.956
Sm 5.388 3.346 1.813
Sm 2.059 2.903 0.000
Sm 2.346 3.307 3.769
Sm 1.376 6.191 5.725
Sm -0.983 2.864 5.582
Ta 0.004 0.006 3.769
Ta 4.401 6.204 0.000
O 5.993 0.416 5.653
O 3.396 2.259 5.653
O 1.886 0.317 4.089
O 4.729 4.326 7.217
O 3.327 2.308 1.884
O 4.568 4.199 3.940
O 1.952 0.511 7.367
O -0.163 2.011 0.171
O 2.453 5.699 3.598
O 1.078 3.902 5.653
O 2.519 5.894 0.321
O -0.325 1.884 3.448
O 1.009 3.951 1.884
O -1.588 5.794 1.884
```

=====

Version Q
VASP calculation (GGA-PBEsol) on Sm3TaO7 after structural relaxation.

DOS(E_F) in states/eV per cell: 0.00

The structure in extended XYZ format:
```
22
Lattice="6.513 -0.035 0.000 -2.323 6.084 0.000 0.000 0.000 7.560" Properties=species:S:1:pos:R:3 pbc="T T T"
Sm -0.767 3.171 5.670
Sm 0.951 5.652 1.890
Sm 0.000 0.000 0.000
Sm 0.000 0.000 3.780
Sm 4.956 2.879 1.890
Sm 3.238 0.397 5.670
Ta 2.095 3.025 0.000
Ta 2.095 3.025 3.780
O -1.068 5.422 5.670
O -1.262 5.142 1.890
O 1.763 4.960 7.285
O 1.763 4.960 4.054
O 0.166 2.654 0.274
O 0.166 2.654 3.505
O 2.412 3.483 1.890
O 1.777 2.567 5.670
O 4.023 3.395 7.285
O 2.426 1.089 3.505
O 2.426 1.089 0.274
O 4.023 3.395 4.054
O 5.258 0.627 1.890
O 5.451 0.907 5.670
```

=====

Preferred: version P; penalty for the next structure: 1.2 kJ/mol of atoms.

=====

Version P
VASP calculation (GGA-PBEsol) on Sm2W3O12 after structural relaxation.

DOS(E_F) in states/eV per cell: 0.00

The structure in extended XYZ format:
```
34
Lattice="6.889 0.025 -0.021 -2.584 6.387 -0.021 -2.172 -3.234 10.804" Properties=species:S:1:pos:R:3 pbc="T T T"
Sm 3.855 3.150 4.361
Sm 0.371 3.143 9.763
Sm 1.762 0.034 0.999
Sm -1.721 0.027 6.401
W 4.070 3.127 0.510
W 0.268 3.333 5.912
W 5.246 -0.045 2.680
W -3.113 3.222 8.082
W 1.865 -0.156 4.850
W -1.936 0.050 10.252
O 3.386 3.595 2.110
O 5.160 1.696 3.000
O 6.220 -0.152 1.144
O 1.475 2.862 4.720
O 3.651 1.326 0.421
O -1.008 4.374 4.568
O 0.960 2.877 7.511
O -1.211 4.072 0.792
O 3.374 0.913 4.939
O 1.129 2.346 0.640
O 5.715 -0.905 4.216
O -1.469 3.801 8.402
O 3.602 -0.624 2.360
O -3.581 4.082 6.546
O 1.005 0.831 10.122
O -1.241 2.264 5.823
O 3.345 -0.895 9.970
O 1.173 0.300 3.251
O 3.142 -1.197 6.194
O -1.518 1.852 10.341
O 0.659 0.316 6.042
O -4.086 3.330 9.618
O -3.026 1.481 7.762
O -1.252 -0.417 8.652
```

=====

Version Q
VASP calculation (GGA-PBEsol) on Sm2W3O12 after structural relaxation.

DOS(E_F) in states/eV per cell: 0.00

The structure in extended XYZ format:
```
68
Lattice="-2.094 -3.560 -9.366 5.059 -8.724 2.185 -12.197 -5.836 4.939" Properties=species:S:1:pos:R:3 pbc="T T T"
Sm -7.427 -16.287 -0.542
Sm -6.092 -5.160 -5.073
Sm -0.322 -7.970 -5.286
Sm -6.719 -10.377 -2.950
Sm -2.512 -7.743 0.708
Sm -8.910 -10.150 3.044
Sm -3.140 -12.959 2.831
Sm -1.805 -1.833 -1.700
W -4.349 -12.934 -5.026
W -9.234 -13.505 -2.734
W 0.910 -11.733 -5.673
W -3.692 -7.659 -3.117
W -8.543 -6.899 -2.325
W -12.028 -9.884 0.571
W 2.796 -8.236 -2.813
W -0.689 -11.220 0.083
W -5.539 -10.461 0.875
W -10.141 -6.387 3.432
W 0.002 -4.615 0.493
W -4.883 -5.185 2.784
O -12.056 -9.112 -4.364
O -7.302 -9.602 -5.048
O -6.234 -7.161 -6.222
O -1.548 -7.784 -7.216
O -2.812 -13.170 -4.149
O -8.145 -14.793 -2.146
O -0.048 -10.224 -5.688
O -5.469 -11.975 -4.021
O 0.343 -12.801 -4.357
O -8.376 -11.937 -2.737
O -10.651 -13.404 -1.659
O 2.626 -11.329 -5.414
O -4.864 -9.001 -3.141
O -7.667 -6.066 -3.635
O -10.289 -6.936 -2.706
O -2.239 -8.119 -4.051
O -12.033 -8.902 -0.920
O -4.449 -6.212 -3.843
O -7.918 -8.566 -2.174
O -0.252 -5.737 -4.763
O -8.203 -14.720 0.970
O -0.951 -12.096 -1.452
O 1.172 -8.300 -3.553
O -5.998 -10.813 -0.816
O -3.234 -7.307 -1.426
O -10.404 -9.820 1.311
O -8.280 -6.024 -0.790
O -1.029 -3.400 -3.212
O -8.979 -12.383 2.521
O -1.314 -9.554 -0.068
O -4.783 -11.907 1.601
O 2.801 -9.217 -1.322
O -6.993 -10.000 1.809
O 1.057 -11.184 0.464
O -1.565 -12.053 1.393
O -4.368 -9.118 0.899
O -11.858 -6.790 3.172
O 1.419 -4.716 -0.583
O -0.856 -6.183 0.496
O -9.575 -5.319 2.115
O -3.762 -6.145 1.779
O -9.184 -7.895 3.446
O -1.086 -3.326 -0.096
O -6.420 -4.950 1.907
O -7.683 -10.336 4.974
O -2.998 -10.959 3.981
O -1.930 -8.517 2.807
O 2.824 -9.007 2.122
```

=====

Preferred: version P; penalty for the next structure: 3.7 kJ/mol of atoms.

=====

Version P
VASP calculation (GGA-PBEsol) on Sr2SnO4 after structural relaxation.

DOS(E_F) in states/eV per cell: 0.00

The structure in extended XYZ format:
```
28
Lattice="5.798 0.000 0.000 0.000 5.793 0.000 0.000 0.000 12.377" Properties=species:S:1:pos:R:3 pbc="T T T"
Sr 0.084 0.083 4.373
Sr 2.815 2.814 4.373
Sr 5.714 2.980 1.815
Sr 2.983 5.711 1.815
Sr 5.714 5.711 8.004
Sr 2.983 2.980 8.004
Sr 0.084 2.814 10.562
Sr 2.815 0.083 10.562
Sn 0.000 0.000 0.000
Sn 2.899 2.897 0.000
Sn 0.000 2.897 6.189
Sn 2.899 0.000 6.189
O 5.544 5.549 2.026
O 3.153 3.142 2.026
O 0.254 2.652 4.162
O 2.645 0.245 4.162
O 0.254 0.245 10.351
O 2.645 2.652 10.351
O 5.544 3.142 8.215
O 3.153 5.549 8.215
O 1.449 1.448 0.370
O 4.348 4.345 5.819
O 4.348 4.345 12.007
O 1.449 1.448 6.559
O 4.348 1.448 12.369
O 1.449 4.345 6.197
O 1.449 4.345 0.009
O 4.348 1.448 6.180
```

=====

Version Q
VASP calculation (GGA-PBEsol) on Sr2SnO4 after structural relaxation.

DOS(E_F) in states/eV per cell: 0.00

The structure in extended XYZ format:
```
7
Lattice="4.062 0.000 0.000 0.000 4.062 0.000 -2.031 -2.031 6.276" Properties=species:S:1:pos:R:3 pbc="T T T"
Sr 0.000 0.000 4.444
Sr 2.031 2.031 1.832
Sn 0.000 0.000 0.000
O 0.000 0.000 2.064
O 2.031 2.031 4.212
O 2.031 0.000 0.000
O 0.000 2.031 0.000
```

=====

Preferred: version P; penalty for the next structure: 1.2 kJ/mol of atoms.

=====

Version P
VASP calculation (GGA-PBEsol) on Zn2Sn3O8 after structural relaxation.

The structure in extended XYZ format:
```
26
Lattice="-5.914 -2.063 0.191 3.512 -0.071 5.189 -2.924 8.577 2.096" Properties=species:S:1:pos:R:3 pbc="T T T"
Zn -4.115 2.541 2.820
Zn -2.435 7.493 5.534
Zn -3.052 -0.578 2.058
Zn -1.372 4.374 4.772
Sn -0.564 1.827 2.269
Sn -6.576 4.740 2.594
Sn -1.784 0.743 5.001
Sn -3.572 5.788 2.497
Sn -4.792 4.704 5.229
Sn 1.220 1.790 4.904
O -5.404 1.374 1.782
O -2.336 7.027 3.566
O -3.539 5.958 6.260
O -2.443 2.407 1.686
O -3.645 1.339 4.380
O -0.577 6.991 6.165
O -3.190 4.292 3.928
O 0.161 0.036 5.385
O 1.247 1.000 2.953
O -5.863 3.360 4.014
O -0.409 1.199 0.293
O -1.871 5.487 1.341
O -0.724 2.474 4.308
O -4.777 4.325 1.583
O -1.426 0.068 3.040
O -5.328 6.099 3.690
```

=====

Version Q
VASP calculation (GGA-PBEsol) on Zn2Sn3O8 after structural relaxation.

The structure in extended XYZ format:
```
13
Lattice="5.415 -0.041 0.026 0.899 5.740 0.029 -0.899 -2.485 5.175" Properties=species:S:1:pos:R:3 pbc="T T T"
Zn 5.379 3.220 1.606
Zn 0.036 -0.005 3.623
Sn 0.000 0.000 0.000
Sn 2.707 0.814 1.346
Sn 2.707 2.401 3.883
O 1.802 0.726 3.166
O 3.613 2.488 2.064
O 2.669 4.853 0.584
O 2.746 -1.638 4.645
O 0.976 3.537 3.371
O 0.976 1.771 0.549
O 4.439 1.444 4.680
O 4.439 -0.322 1.858
```

=====

Preferred: version P; penalty for the next structure: 1.9 kJ/mol of atoms.

=====

Version P
VASP calculation (GGA-PBEsol) on Sr2Ti2O5 after structural relaxation.

DOS(E_F) in states/eV per cell: 9.19

The structure in extended XYZ format:
```
18
Lattice="5.542 0.000 0.000 0.000 5.550 0.000 -2.771 -2.775 7.769" Properties=species:S:1:pos:R:3 pbc="T T T"
Sr 2.718 -0.002 1.835
Sr -0.053 2.777 5.934
Sr -0.053 2.777 1.835
Sr 2.718 -0.002 5.934
Ti 5.489 0.000 0.000
Ti 2.718 2.775 0.000
Ti -0.053 0.084 3.884
Ti 2.718 2.691 3.884
O -1.439 1.387 7.644
O 1.333 1.387 0.125
O 1.333 1.387 7.644
O 4.104 1.387 0.125
O -0.053 -0.207 1.994
O 2.718 2.982 5.774
O 2.718 2.982 1.994
O -0.053 -0.207 5.774
O 4.104 1.388 3.884
O 1.333 1.387 3.884
```

=====

Version Q
VASP calculation (GGA-PBEsol) on Sr2Ti2O5 after structural relaxation.

DOS(E_F) in states/eV per cell: 4.51

The structure in extended XYZ format:
```
9
Lattice="-0.995 -1.275 -3.534 3.302 -4.330 0.632 -4.247 -2.702 2.171" Properties=species:S:1:pos:R:3 pbc="T T T"
Sr 1.471 -3.935 1.005
Sr -2.416 -3.097 1.798
O -2.621 -1.989 -0.682
O 1.153 -2.802 -1.451
O -0.681 -5.067 2.020
O -0.264 -1.965 0.783
O -0.498 -0.637 -1.767
Ti -1.204 -5.892 0.327
Ti -0.736 -2.415 -1.059
```

=====

Preferred: version P; penalty for the next structure: 1.1 kJ/mol of atoms.